(1)
# Ca4InTe | Alexandria | PBE | relaxed
data_Ca4InTe
_chemical_formula_sum 'Ca16 In4 Te4'
_cell_length_a 9.423
_cell_length_b 9.423
_cell_length_c 9.423
_cell_angle_alpha 90.00
_cell_angle_beta 90.00
_cell_angle_gamma 90.00
_space_group_name_H-M_alt 'F -4 3 m'
_space_group_IT_number 216
_space_group_name_Hall 'F -4 2 3'
loop_
_atom_site_label
_atom_site_fract_x
_atom_site_fract_y
_atom_site_fract_z
_atom_site_occupancy
Ca1 0.125 0.125 0.125 1
In1 0.250 0.250 0.750 1
Te1 0.000 0.000 0.500 1
# Formation energy (no corrections) ... -25.8 meV per atom
# Total energy ... -2.34 eV/atom

=====

(2)
# CaInTe | Alexandria | PBE | relaxed
data_CaInTe
_chemical_formula_sum 'Ca4 In4 Te4'
_cell_length_a 7.487
_cell_length_b 7.487
_cell_length_c 7.487
_cell_angle_alpha 90.00
_cell_angle_beta 90.00
_cell_angle_gamma 90.00
_space_group_name_H-M_alt 'F -4 3 m'
_space_group_IT_number 216
_space_group_name_Hall 'F -4 2 3'
loop_
_atom_site_label
_atom_site_fract_x
_atom_site_fract_y
_atom_site_fract_z
_atom_site_occupancy
Ca1 0.000 0.000 0.000 1
In1 0.250 0.250 0.250 1
Te1 0.250 0.250 0.750 1
# Formation energy (no corrections) ... -477.5 meV per atom
# Total energy ... -3.10 eV/atom

=====

(3)
# Ca3In5Te12 | Alexandria | PBE | relaxed
data_Ca3In5Te12
_chemical_formula_sum 'Ca24 In40 Te96'
_cell_length_a 17.919
_cell_length_b 17.919
_cell_length_c 17.919
_cell_angle_alpha 90.00
_cell_angle_beta 90.00
_cell_angle_gamma 90.00
_space_group_name_H-M_alt 'I a -3 d'
_space_group_IT_number 230
_space_group_name_Hall '-I 4bd 2c 3'
loop_
_atom_site_label
_atom_site_fract_x
_atom_site_fract_y
_atom_site_fract_z
_atom_site_occupancy
Ca1 0.000 0.250 0.125 1
In1 0.000 0.000 0.000 1
In2 0.000 0.250 0.375 1
Te1 0.021 0.067 0.652 1
# Formation energy (no corrections) ... -538.0 meV per atom
# Total energy ... -3.41 eV/atom

=====

(4)
# CaInTe | Alexandria | PBE | relaxed
data_CaInTe
_chemical_formula_sum 'Ca6 In6 Te6'
_cell_length_a 5.1317
_cell_length_b 5.1317
_cell_length_c 27.4126
_cell_angle_alpha 90.00
_cell_angle_beta 90.00
_cell_angle_gamma 120.00
_space_group_name_H-M_alt 'R -3 m'
_space_group_IT_number 166
_space_group_name_Hall '-R 3 2"'
loop_
_atom_site_label
_atom_site_fract_x
_atom_site_fract_y
_atom_site_fract_z
_atom_site_occupancy
Ca1 0.0000 0.0000 0.0860 1
In1 0.0000 0.0000 0.3277 1
Te1 0.0000 0.0000 0.2180 1
# Formation energy (no corrections) ... -831.5 meV per atom
# Total energy ... -3.46 eV/atom

=====

(5)
# CaThIn2Te4 | Alexandria | PBE | relaxed
data_CaThIn2Te4
_chemical_formula_sum 'Ca1 Th1 In2 Te4'
_cell_length_a 7.794
_cell_length_b 4.555
_cell_length_c 8.542
_cell_angle_alpha 90.00
_cell_angle_beta 107.89
_cell_angle_gamma 90.00
_space_group_name_H-M_alt 'P 1 2/m 1'
_space_group_IT_number 10
loop_
_space_group_symop_operation_xyz
'x,y,z'
'-x,-y,-z'
'-x,y,-z'
'x,-y,z'
loop_
_atom_site_label
_atom_site_fract_x
_atom_site_fract_y
_atom_site_fract_z
_atom_site_occupancy
Ca1 0.000 0.000 0.000 1
Th1 0.500 0.500 0.000 1
In1 0.000 0.500 0.500 1
In2 0.500 0.000 0.500 1
Te1 0.250 0.500 0.222 1
Te2 0.266 0.000 0.776 1
# Formation energy (no corrections) ... -919.4 meV per atom
# Total energy ... -4.35 eV/atom

=====

(6)
# CaTiInTe2 | Alexandria | PBE | relaxed
data_CaTiInTe2
_chemical_formula_sum 'Ca1 Ti1 In1 Te2'
_cell_length_a 5.809
_cell_length_b 5.809
_cell_length_c 5.442
_cell_angle_alpha 90.00
_cell_angle_beta 90.00
_cell_angle_gamma 90.00
_space_group_name_H-M_alt 'P 4/m m m'
_space_group_IT_number 123
_space_group_name_Hall '-P 4 2'
loop_
_atom_site_label
_atom_site_fract_x
_atom_site_fract_y
_atom_site_fract_z
_atom_site_occupancy
Ca1 0.000 0.000 0.000 1
Ti1 0.500 0.500 0.000 1
In1 0.500 0.500 0.500 1
Te1 0.000 0.500 0.500 1
# Formation energy (no corrections) ... 279.7 meV per atom
# Total energy ... -3.50 eV/atom

=====

(7)
# CaTl2InTe4 | Alexandria | PBE | relaxed
data_CaTl2InTe4
_chemical_formula_sum 'Ca4 Tl8 In4 Te16'
_cell_length_a 9.061
_cell_length_b 9.180
_cell_length_c 12.916
_cell_angle_alpha 90.00
_cell_angle_beta 90.00
_cell_angle_gamma 90.00
_space_group_name_H-M_alt 'I m m a'
_space_group_IT_number 74
_space_group_name_Hall '-I 2b 2'
loop_
_atom_site_label
_atom_site_fract_x
_atom_site_fract_y
_atom_site_fract_z
_atom_site_occupancy
Ca1 0.000 0.000 0.000 1
Tl1 0.000 0.000 0.500 1
Tl2 0.250 0.250 0.250 1
In1 0.250 0.250 0.750 1
Te1 0.000 0.024 0.754 1
Te2 0.239 0.250 0.985 1
# Formation energy (no corrections) ... -561.2 meV per atom
# Total energy ... -3.32 eV/atom

=====

(8)
# CaTlInTe3 | Alexandria | PBE | relaxed
data_CaTlInTe3
_chemical_formula_sum 'Ca2 Tl2 In2 Te6'
_cell_length_a 8.873
_cell_length_b 4.509
_cell_length_c 11.479
_cell_angle_alpha 90.00
_cell_angle_beta 103.30
_cell_angle_gamma 90.00
_space_group_name_H-M_alt 'P 1 21/m 1'
_space_group_IT_number 11
loop_
_space_group_symop_operation_xyz
'x,y,z'
'-x,-y,-z'
'-x,y+1/2,-z'
'x,-y+1/2,z'
loop_
_atom_site_label
_atom_site_fract_x
_atom_site_fract_y
_atom_site_fract_z
_atom_site_occupancy
Ca1 0.188 0.250 0.098 1
Tl1 0.225 0.750 0.730 1
In1 0.420 0.750 0.366 1
Te1 0.020 0.250 0.828 1
Te2 0.279 0.250 0.458 1
Te3 0.455 0.750 0.133 1
# Formation energy (no corrections) ... -700.6 meV per atom
# Total energy ... -3.46 eV/atom

=====

| no. | volume (Å³ per cell) |
| --- | --- |
| 1 | 836.8 |
| 2 | 419.7 |
| 3 | 5753.7 |
| 4 | 625.2 |
| 5 | 288.6 |
| 6 | 183.6 |
| 7 | 1074.3 |
| 8 | 447.0 |